Below is ZrI after structural relaxation, with properties calculated at the GGA-PBE level.

abc: 4.666 4.666 4.666
angles: 60.00 60.00 60.00
Element x y z (fractional)
Zr 0.250 0.250 0.250
I 0.000 0.000 0.000

Values from the calculation:
Size of the total moment = 1.8 μB per formula unit
Electronic total energy = -4.4849 eV/atom
Volume = 35.91 Å³/atom